The following is a DFT calculation (PBE) of a relaxed structure of Sr2LaBe.

Summary:
The value obtained for the electronic total energy is -10.618 eV per formula unit. The value obtained for the density of states at the Fermi level is 20.22 states/eV per cell. As for the volume: 39.58 A^3/atom. The calculation puts the total magnetization at 0.01 μB per formula unit.

The structure in CIF format:
```
data_Sr2LaBe
_cell_length_a 4.0567
_cell_length_b 4.0567
_cell_length_c 33.3289
_cell_angle_alpha 90.00
_cell_angle_beta 90.00
_cell_angle_gamma 120.00
_symmetry_space_group_name_H-M 'R 3 m'
_symmetry_Int_Tables_number 160
_symmetry_space_group_name_Hall 'R 3 -2"'
loop_
_atom_site_label
_atom_site_type_symbol
_atom_site_fract_x
_atom_site_fract_y
_atom_site_fract_z
Sr1 Sr 0.0000 0.0000 0.0000
Sr2 Sr 0.0000 0.0000 0.2220
La1 La 0.0000 0.0000 0.7719
Be1 Be 0.0000 0.0000 0.4927
```